Entry 1:
Below is a PBEsol-optimized structure of SrMn2W, with properties calculated at the SCAN level.

## Properties
E_form: 13.890 kcal/mol of atoms
Theoretical density: 8.75 g/cm3
Energy: -1.1582 Ha/atom
Total moment: 1.0553 μB/atom

Structure (CIF):
```
data_SrMn2W
_chemical_formula_sum 'Sr1 Mn2 W1'
_cell_length_a 3.041
_cell_length_b 3.041
_cell_length_c 7.825
_cell_angle_alpha 90.00
_cell_angle_beta 90.02
_cell_angle_gamma 90.00
_symmetry_space_group_name_H-M 'P 1'
_symmetry_Int_Tables_number 1
loop_
_symmetry_equiv_pos_as_xyz
'x,y,z'
loop_
_atom_site_label
_atom_site_fract_x
_atom_site_fract_y
_atom_site_fract_z
_atom_site_occupancy
Mn1 0.000 0.000 0.988 1
Mn2 0.500 0.500 0.175 1
Sr1 0.000 0.000 0.505 1
W1 0.500 0.500 0.832 1
```

Entry 2:
Below is a PBEsol-optimized structure of Sr2MnW, with properties calculated at the SCAN level.

## Properties
E_form: 14.867 kcal/mol of atoms
Theoretical density: 6.67 g/cm3
Energy: -1.1936 Ha/atom
Total moment: 0.3548 μB/atom

Structure (CIF):
```
data_Sr2MnW
_chemical_formula_sum 'Sr2 Mn1 W1'
_cell_length_a 3.318
_cell_length_b 3.318
_cell_length_c 9.357
_cell_angle_alpha 90.00
_cell_angle_beta 90.00
_cell_angle_gamma 90.00
_symmetry_space_group_name_H-M 'P 1'
_symmetry_Int_Tables_number 1
loop_
_symmetry_equiv_pos_as_xyz
'x,y,z'
loop_
_atom_site_label
_atom_site_fract_x
_atom_site_fract_y
_atom_site_fract_z
_atom_site_occupancy
Mn1 0.500 0.500 0.662 1
Sr1 0.000 0.000 0.924 1
Sr2 0.500 0.500 0.324 1
W1 0.000 0.000 0.590 1
```

Entry 3:
Below is a PBEsol-optimized structure of SrMn2W, with properties calculated at the SCAN level.

## Properties
E_form: 24.278 kcal/mol of atoms
Theoretical density: 9.73 g/cm3
Energy: -1.1416 Ha/atom
Total moment: 1.0005 μB/atom

Structure (CIF):
```
data_SrMn2W
_chemical_formula_sum 'Sr1 Mn2 W1'
_cell_length_a 2.728
_cell_length_b 4.820
_cell_length_c 5.670
_cell_angle_alpha 115.15
_cell_angle_beta 103.92
_cell_angle_gamma 90.00
_symmetry_space_group_name_H-M 'P 1'
_symmetry_Int_Tables_number 1
loop_
_symmetry_equiv_pos_as_xyz
'x,y,z'
loop_
_atom_site_label
_atom_site_fract_x
_atom_site_fract_y
_atom_site_fract_z
_atom_site_occupancy
Mn1 0.977 0.977 0.953 1
Mn2 0.292 0.792 0.584 1
Sr1 0.514 0.514 0.027 1
W1 0.718 0.218 0.436 1
```

Entry 4:
Below is a PBEsol-optimized structure of SrMn2W, with properties calculated at the SCAN level.

## Properties
E_form: 13.942 kcal/mol of atoms
Theoretical density: 8.07 g/cm3
Energy: -1.1581 Ha/atom
Total moment: 1.3312 μB/atom

Structure (CIF):
```
data_SrMn2W
_chemical_formula_sum 'Sr1 Mn2 W1'
_cell_length_a 3.040
_cell_length_b 4.356
_cell_length_c 6.390
_cell_angle_alpha 97.91
_cell_angle_beta 90.00
_cell_angle_gamma 110.42
_symmetry_space_group_name_H-M 'P 1'
_symmetry_Int_Tables_number 1
loop_
_symmetry_equiv_pos_as_xyz
'x,y,z'
loop_
_atom_site_label
_atom_site_fract_x
_atom_site_fract_y
_atom_site_fract_z
_atom_site_occupancy
Mn1 0.772 0.544 0.860 1
Mn2 0.228 0.456 0.140 1
Sr1 0.000 0.000 0.500 1
W1 0.500 0.000 0.000 1
```

Entry 5:
Below is a PBEsol-optimized structure of SrYMn2, with properties calculated at the SCAN level.

## Properties
E_form: 4.692 kcal/mol of atoms
Theoretical density: 5.04 g/cm3
Energy: -0.7884 Ha/atom
Total moment: 1.8893 μB/atom

Structure (CIF):
```
data_SrYMn2
_chemical_formula_sum 'Sr1 Y1 Mn2'
_cell_length_a 3.310
_cell_length_b 5.368
_cell_length_c 5.821
_cell_angle_alpha 107.15
_cell_angle_beta 106.52
_cell_angle_gamma 90.00
_symmetry_space_group_name_H-M 'P 1'
_symmetry_Int_Tables_number 1
loop_
_symmetry_equiv_pos_as_xyz
'x,y,z'
loop_
_atom_site_label
_atom_site_fract_x
_atom_site_fract_y
_atom_site_fract_z
_atom_site_occupancy
Mn1 0.034 0.984 0.068 1
Mn2 0.713 0.249 0.426 1
Sr1 0.477 0.447 0.954 1
Y1 0.276 0.819 0.552 1
```

Entry 6:
Below is a PBEsol-optimized structure of SrY2Mn, with properties calculated at the SCAN level.

## Properties
E_form: 6.575 kcal/mol of atoms
Theoretical density: 4.63 g/cm3
Energy: -0.8735 Ha/atom
Total moment: 0.7623 μB/atom

Structure (CIF):
```
data_SrY2Mn
_chemical_formula_sum 'Sr1 Y2 Mn1'
_cell_length_a 5.029
_cell_length_b 4.780
_cell_length_c 4.780
_cell_angle_alpha 90.00
_cell_angle_beta 90.00
_cell_angle_gamma 90.00
_symmetry_space_group_name_H-M 'P 1'
_symmetry_Int_Tables_number 1
loop_
_symmetry_equiv_pos_as_xyz
'x,y,z'
loop_
_atom_site_label
_atom_site_fract_x
_atom_site_fract_y
_atom_site_fract_z
_atom_site_occupancy
Mn1 0.500 0.500 0.500 1
Sr1 0.500 0.000 0.000 1
Y1 0.000 0.000 0.500 1
Y2 0.000 0.500 0.000 1
```

Entry 7:
Below is a PBEsol-optimized structure of SrYMn2, with properties calculated at the SCAN level.

## Properties
E_form: 4.014 kcal/mol of atoms
Theoretical density: 5.04 g/cm3
Energy: -0.7895 Ha/atom
Total moment: 1.8933 μB/atom

Structure (CIF):
```
data_SrYMn2
_chemical_formula_sum 'Sr1 Y1 Mn2'
_cell_length_a 5.112
_cell_length_b 5.112
_cell_length_c 5.112
_cell_angle_alpha 60.00
_cell_angle_beta 60.00
_cell_angle_gamma 60.00
_symmetry_space_group_name_H-M 'P 1'
_symmetry_Int_Tables_number 1
loop_
_symmetry_equiv_pos_as_xyz
'x,y,z'
loop_
_atom_site_label
_atom_site_fract_x
_atom_site_fract_y
_atom_site_fract_z
_atom_site_occupancy
Mn1 0.750 0.750 0.750 1
Mn2 0.250 0.250 0.250 1
Sr1 0.500 0.500 0.500 1
Y1 0.000 0.000 0.000 1
```

Entry 8:
Below is a PBEsol-optimized structure of SrYMn2, with properties calculated at the SCAN level.

## Properties
E_form: 3.995 kcal/mol of atoms
Theoretical density: 4.79 g/cm3
Energy: -0.7895 Ha/atom
Total moment: 1.9308 μB/atom

Structure (CIF):
```
data_SrYMn2
_chemical_formula_sum 'Sr1 Y1 Mn2'
_cell_length_a 3.464
_cell_length_b 3.464
_cell_length_c 8.277
_cell_angle_alpha 90.00
_cell_angle_beta 90.00
_cell_angle_gamma 90.00
_symmetry_space_group_name_H-M 'P 1'
_symmetry_Int_Tables_number 1
loop_
_symmetry_equiv_pos_as_xyz
'x,y,z'
loop_
_atom_site_label
_atom_site_fract_x
_atom_site_fract_y
_atom_site_fract_z
_atom_site_occupancy
Mn1 0.000 0.000 0.042 1
Mn2 0.500 0.500 0.177 1
Sr1 0.000 0.000 0.448 1
Y1 0.500 0.500 0.833 1
```

Entry 9:
Below is a PBEsol-optimized structure of SrY2Mn, with properties calculated at the SCAN level.

## Properties
E_form: 1.413 kcal/mol of atoms
Theoretical density: 4.54 g/cm3
Energy: -0.8817 Ha/atom
Total moment: 0.9132 μB/atom

Structure (CIF):
```
data_SrY2Mn
_chemical_formula_sum 'Sr1 Y2 Mn1'
_cell_length_a 3.502
_cell_length_b 3.502
_cell_length_c 9.543
_cell_angle_alpha 90.00
_cell_angle_beta 90.00
_cell_angle_gamma 90.00
_symmetry_space_group_name_H-M 'P 1'
_symmetry_Int_Tables_number 1
loop_
_symmetry_equiv_pos_as_xyz
'x,y,z'
loop_
_atom_site_label
_atom_site_fract_x
_atom_site_fract_y
_atom_site_fract_z
_atom_site_occupancy
Mn1 0.500 0.500 0.500 1
Sr1 0.500 0.500 0.000 1
Y1 0.000 0.000 0.328 1
Y2 0.000 0.000 0.672 1
```

Entry 10:
Below is a PBEsol-optimized structure of SrY2Mn, with properties calculated at the SCAN level.

## Properties
E_form: 2.614 kcal/mol of atoms
Theoretical density: 4.53 g/cm3
Energy: -0.8798 Ha/atom
Total moment: 0.9725 μB/atom

Structure (CIF):
```
data_SrY2Mn
_chemical_formula_sum 'Sr1 Y2 Mn1'
_cell_length_a 3.608
_cell_length_b 5.703
_cell_length_c 6.634
_cell_angle_alpha 115.46
_cell_angle_beta 105.78
_cell_angle_gamma 90.00
_symmetry_space_group_name_H-M 'P 1'
_symmetry_Int_Tables_number 1
loop_
_symmetry_equiv_pos_as_xyz
'x,y,z'
loop_
_atom_site_label
_atom_site_fract_x
_atom_site_fract_y
_atom_site_fract_z
_atom_site_occupancy
Mn1 0.000 0.500 0.000 1
Sr1 0.500 0.000 0.000 1
Y1 0.704 0.704 0.408 1
Y2 0.296 0.296 0.592 1
```

Entry 11:
Below is a PBEsol-optimized structure of Sr2YMn, with properties calculated at the SCAN level.

## Properties
E_form: 6.860 kcal/mol of atoms
Theoretical density: 4.09 g/cm3
Energy: -0.8219 Ha/atom
Total moment: 0.9380 μB/atom

Structure (CIF):
```
data_Sr2YMn
_chemical_formula_sum 'Sr2 Y1 Mn1'
_cell_length_a 3.825
_cell_length_b 5.530
_cell_length_c 6.981
_cell_angle_alpha 113.33
_cell_angle_beta 105.90
_cell_angle_gamma 90.00
_symmetry_space_group_name_H-M 'P 1'
_symmetry_Int_Tables_number 1
loop_
_symmetry_equiv_pos_as_xyz
'x,y,z'
loop_
_atom_site_label
_atom_site_fract_x
_atom_site_fract_y
_atom_site_fract_z
_atom_site_occupancy
Mn1 0.000 0.500 0.000 1
Sr1 0.702 0.702 0.405 1
Sr2 0.298 0.298 0.595 1
Y1 0.500 0.000 0.000 1
```

Entry 12:
Below is a PBEsol-optimized structure of Sr2YMn, with properties calculated at the SCAN level.

## Properties
E_form: 8.849 kcal/mol of atoms
Theoretical density: 3.99 g/cm3
Energy: -0.8187 Ha/atom
Total moment: 1.0270 μB/atom

Structure (CIF):
```
data_Sr2YMn
_chemical_formula_sum 'Sr2 Y1 Mn1'
_cell_length_a 5.729
_cell_length_b 5.729
_cell_length_c 5.729
_cell_angle_alpha 60.00
_cell_angle_beta 60.00
_cell_angle_gamma 60.00
_symmetry_space_group_name_H-M 'P 1'
_symmetry_Int_Tables_number 1
loop_
_symmetry_equiv_pos_as_xyz
'x,y,z'
loop_
_atom_site_label
_atom_site_fract_x
_atom_site_fract_y
_atom_site_fract_z
_atom_site_occupancy
Mn1 0.000 0.000 0.000 1
Sr1 0.250 0.250 0.250 1
Sr2 0.750 0.750 0.750 1
Y1 0.500 0.500 0.500 1
```

- What is the theoretical density in the tenth record?
  4.53 g/cm3

- Which formula does entry 8 have?
  SrYMn2

- The highest theoretical density belongs to which entry?
  number 3

- total moment of number 12 (Sr2YMn)?
  1.0270 μB/atom